No. 1
A plane-wave DFT calculation with PBE was carried out for crystalline TcPb2Br at its relaxed geometry.

## Properties
- E above lowest polymorph: 186 meV per atom
- E_form (uncorrected): 0.474 eV per atom
- Crystal system: tetragonal
- D(E_F): 2.1 states/eV per cell
- VASP energy: -0.3227 Ry/atom

abc: 3.5060 3.5060 8.1476
angles: 90.00 90.00 90.00
Space group P4mm (No. 99)
Asymmetric unit:
Tc 0.0000 0.0000 0.0000 x1
Pb 0.0000 0.0000 0.5459 x1
Pb 0.5000 0.5000 0.8254 x1
Br 0.5000 0.5000 0.2191 x1

No. 2
A plane-wave DFT calculation with PBE was carried out for crystalline TbLuI at its relaxed geometry.

## Properties
- E_form (uncorrected): -0.142 eV per atom
- Crystal system: trigonal
- D(E_F): 2.0 states/eV per cell
- VASP energy: -0.2726 Ry/atom

abc: 5.3826 5.3826 3.7368
angles: 90.00 90.00 120.00
Space group P3m1 (No. 156)
Asymmetric unit:
Tb 0.0000 0.0000 0.0000 x1
Lu 0.6667 0.3333 0.5208 x1
I 0.3333 0.6667 0.7298 x1

No. 3
A plane-wave DFT calculation with PBE was carried out for crystalline BPtF at its relaxed geometry.

## Properties
- E_form (uncorrected): -1.163 eV per atom
- Crystal system: triclinic
- D(E_F): 1.8 states/eV per cell
- VASP energy: -0.4429 Ry/atom

abc: 2.7997 5.0537 6.8454
angles: 73.74 89.18 89.71
Space group P-1 (No. 2)
Asymmetric unit:
B 0.2464 0.4474 0.1962 x2
Pt 0.2513 0.2497 0.9541 x2
F 0.2417 0.2895 0.3868 x2

No. 4
A plane-wave DFT calculation with PBE was carried out for crystalline HoSnRu2 at its relaxed geometry.

## Properties
- Energy of formation from the pure elements: -0.37 eV per atom
- Crystal system: cubic
- D(E_F): 21.4 states/eV per cell
- VASP energy: -0.5261 Ry/atom

abc: 6.5890 6.5890 6.5890
angles: 90.00 90.00 90.00
Space group Fm-3m (No. 225)
Asymmetric unit:
Ho 0.0000 0.0000 0.0000 x4
Sn 0.0000 0.0000 0.5000 x4
Ru 0.2500 0.2500 0.2500 x8